ScP3: relaxed, PBE-GGA.

Lattice parameters (Å, degrees): 7.5571 7.5571 4.4093 90.00 90.00 120.00
Space group R-3m (No. 166, hexagonal axes)
Asymmetric unit:
Sc  0.0000  0.0000  0.0000
P  0.0000  0.5000  0.0000

## Properties
DFT formation energy = -1.11 eV/f.u.
calculated volume = 218.08 Å³/cell

---

ScP3: relaxed, PBE-GGA.

Lattice parameters (Å, degrees): 3.4180 3.4180 6.7921 90.00 90.00 120.00
Space group P-6m2 (No. 187)
Asymmetric unit:
Sc  0.0000  0.0000  0.0000
P  0.0000  0.0000  0.5000
P  0.3333  0.6667  0.2663

## Properties
DFT formation energy = -0.67 eV/f.u.
calculated volume = 68.72 Å³/cell